Here is crystalline K2DyZnTe4 at its relaxed geometry from the Alexandria database. Energies are from PBE.

Unit cell a=7.101 b=7.101 c=7.101 alpha=106.70 beta=106.70 gamma=115.18
Fractional positions:
K1 0.000 0.500 0.500
K2 0.500 0.000 0.500
Dy1 0.000 0.000 0.000
Zn1 0.500 0.500 0.000
Te1 0.101 0.101 0.647
Te2 0.453 0.453 0.353
Te3 0.547 0.899 0.000
Te4 0.899 0.547 0.000

Values from the calculation:
Space group: I-42m, No. 121
Energy (eV per cell): -27.332
Energy relative to the elements, uncorrected (eV/atom): -0.84
Calculated volume (Å³ per cell): 273.6

***

Here is crystalline NaBiNF2 at its relaxed geometry from the Alexandria database. Energies are from PBE.

Unit cell a=3.953 b=3.953 c=4.553 alpha=90.00 beta=90.00 gamma=90.00
Fractional positions:
Na1 0.000 0.000 0.000
Bi1 0.500 0.500 0.500
N1 0.000 0.000 0.500
F1 0.000 0.500 0.000
F2 0.500 0.000 0.000

Values from the calculation:
Space group: P4/mmm, No. 123
Energy (eV per cell): -20.550
Energy relative to the elements, uncorrected (eV/atom): -0.66
Energy relative to the lowest polymorph listed for this composition (meV per atom): 371
Calculated volume (Å³ per cell): 71.1

***

Here is crystalline CaSbW2Au at its relaxed geometry from the Alexandria database. Energies are from PBE.

Unit cell a=8.686 b=8.686 c=4.105 alpha=90.30 beta=90.30 gamma=22.66
Fractional positions:
Ca1 0.000 0.000 0.000
Sb1 0.330 0.330 0.009
W1 0.213 0.213 0.506
W2 0.701 0.701 0.005
Au1 0.580 0.580 0.502

Values from the calculation:
Space group: Cm, No. 8
Energy (eV per cell): -34.273
Energy relative to the elements, uncorrected (eV/atom): 0.21
Energy relative to the lowest polymorph listed for this composition (meV per atom): 172
Calculated volume (Å³ per cell): 119.3

***

Here is crystalline YTl2Os at its relaxed geometry from the Alexandria database. Energies are from PBE.

Unit cell a=4.290 b=4.399 c=4.727 alpha=90.00 beta=90.00 gamma=90.00
Fractional positions:
Y1 0.000 0.000 0.000
Tl1 0.000 0.500 0.500
Tl2 0.500 0.000 0.500
Os1 0.500 0.500 0.000

Values from the calculation:
Space group: Pmmm, No. 47
Energy of formation from the pure elements (eV/atom): 0.34
Energy (eV per cell): -21.057
Energy relative to the lowest polymorph listed for this composition (meV per atom): 131
Calculated volume (Å³ per cell): 89.2